Computed, not measured: a geometry-optimized ZrAlPb2 structure at the PBEsol level of DFT.

The calculated formation energy is 0.694 eV per formula unit.

The space group is R-3m (No. 166, hexagonal axes) and the conventional cell measures 3.2427, 3.2427 and 32.0386 Å, with angles of 90.00, 90.00 and 120.00 degrees. The inequivalent atoms are Zr at (0.0000, 0.0000, 0.0000), Al at (0.0000, 0.0000, 0.5000) and Pb at (0.0000, 0.0000, 0.2520).